SrYW2 PBE relaxed; volume = 22.03 Å³/atom; total DFT energy (no corrections) = -29.79 eV per formula unit; magnetic moment = 0.0 μB per cell
1.0
-1.406 -1.761 4.458
-4.745 -1.360 0.764
-1.160 -4.830 0.524
Sr W Y
1 2 1
direct
0.500 0.500 0.500
0.000 0.000 0.000
0.250 0.250 0.250
0.750 0.750 0.750

***

SrZnW2 PBE relaxed; volume = 18.96 Å³/atom; total DFT energy (no corrections) = -25.00 eV per formula unit; magnetic moment = 0.0 μB per cell
1.0
0.000 3.360 3.360
3.360 0.000 3.360
3.360 3.360 0.000
Sr W Zn
1 2 1
direct
0.750 0.750 0.750
0.000 0.000 0.000
0.250 0.250 0.250
0.500 0.500 0.500

***

Sr2YZn PBE relaxed; volume = 33.48 Å³/atom; total DFT energy (no corrections) = -10.19 eV per formula unit; magnetic moment = 0.3 μB per cell
1.0
0.000 4.061 4.061
4.061 0.000 4.061
4.061 4.061 0.000
Sr Y Zn
2 1 1
direct
0.000 0.000 0.000
0.250 0.250 0.250
0.750 0.750 0.750
0.500 0.500 0.500

***

SrZn PBE relaxed; volume = 31.36 Å³/atom; total DFT energy (no corrections) = -3.07 eV per formula unit
1.0
11.286 0.000 0.000
0.000 4.076 0.000
0.000 0.000 5.453
Sr Zn
4 4
direct
0.549 0.000 0.000
0.144 0.500 0.000
0.773 0.000 0.500
0.368 0.500 0.500
0.928 0.000 0.000
0.789 0.500 0.000
0.128 0.000 0.500
0.989 0.500 0.500

***

SrZn PBE relaxed; volume = 29.81 Å³/atom; total DFT energy (no corrections) = -2.92 eV per formula unit
1.0
-1.206 1.507 -5.492
7.154 -4.296 -2.749
-2.528 -3.884 -0.510
Sr Zn
4 4
direct
0.872 0.000 0.000
0.377 0.000 0.500
0.855 0.313 0.500
0.855 0.687 0.500
0.436 0.278 0.000
0.146 0.500 0.000
0.436 0.722 0.000
0.356 0.500 0.500

***

SrZn13 PBE relaxed; volume = 16.28 Å³/atom; total DFT energy (no corrections) = -20.54 eV per formula unit
1.0
3.431 -7.424 2.783
5.019 5.930 -3.777
-3.231 1.460 7.878
Sr Zn
2 26
direct
0.750 0.500 0.250
0.250 0.500 0.750
0.000 0.000 0.000
0.300 0.000 0.059
0.059 0.359 0.059
0.700 0.759 0.059
0.441 0.641 0.200
0.559 0.000 0.200
0.200 0.759 0.200
0.059 0.000 0.300
0.941 0.241 0.300
0.300 0.359 0.300
0.800 0.000 0.441
0.441 0.241 0.441
0.200 0.641 0.441
0.500 0.000 0.500
0.200 0.000 0.559
0.800 0.359 0.559
0.559 0.759 0.559
0.941 0.000 0.700
0.700 0.641 0.700
0.059 0.759 0.700
0.441 0.000 0.800
0.800 0.241 0.800
0.559 0.359 0.800
0.700 0.000 0.941
0.300 0.241 0.941
0.941 0.641 0.941

***

SrZn PBE relaxed; volume = 30.03 Å³/atom; total DFT energy (no corrections) = -2.99 eV per formula unit
1.0
-0.121 -2.227 5.023
2.551 7.566 6.455
-5.331 1.383 0.485
Sr Zn
5 5
direct
0.906 0.342 0.000
0.266 0.600 0.000
0.646 0.858 0.000
0.415 0.350 0.500
0.164 0.850 0.500
0.059 0.022 0.000
0.485 0.178 0.000
0.578 0.034 0.500
0.017 0.166 0.500
0.798 0.600 0.500

***

SrZn PBE relaxed; volume = 27.99 Å³/atom; total DFT energy (no corrections) = -2.72 eV per formula unit
1.0
-3.246 5.346 1.837
-7.385 -0.341 -12.055
-3.364 -2.777 2.139
Sr Zn
8 8
direct
0.988 0.514 0.000
0.540 0.638 0.000
0.540 0.862 0.000
0.988 0.986 0.000
0.346 0.014 0.500
0.793 0.138 0.500
0.793 0.362 0.500
0.346 0.486 0.500
0.440 0.153 0.000
0.074 0.250 0.000
0.440 0.347 0.000
0.030 0.750 0.000
0.303 0.250 0.500
0.893 0.653 0.500
0.260 0.750 0.500
0.893 0.847 0.500

***

SrZn2 PBE relaxed; volume = 22.94 Å³/atom; total DFT energy (no corrections) = -4.53 eV per formula unit
1.0
5.253 0.000 0.000
0.000 10.738 0.000
0.000 0.000 4.880
Sr Zn
4 8
direct
0.937 0.000 0.000
0.437 0.500 0.000
0.396 0.000 0.500
0.896 0.500 0.500
0.495 0.202 0.000
0.995 0.298 0.000
0.995 0.702 0.000
0.495 0.798 0.000
0.838 0.202 0.500
0.338 0.298 0.500
0.338 0.702 0.500
0.838 0.798 0.500

***

SrZn PBE relaxed; volume = 30.97 Å³/atom; total DFT energy (no corrections) = -3.09 eV per formula unit
1.0
-4.111 3.191 2.022
-3.424 0.143 -7.185
-2.912 -4.574 1.297
Sr Zn
4 4
direct
0.918 0.428 0.000
0.418 0.822 0.000
0.415 0.428 0.500
0.915 0.822 0.500
0.920 0.035 0.000
0.420 0.215 0.000
0.413 0.035 0.500
0.913 0.215 0.500

***

SrZn PBE relaxed; volume = 31.23 Å³/atom; total DFT energy (no corrections) = -3.23 eV per formula unit
1.0
6.614 0.000 0.000
0.000 12.099 0.000
0.000 0.000 4.683
Sr Zn
6 6
direct
0.490 0.260 0.000
0.991 0.906 0.000
0.004 0.196 0.500
0.754 0.486 0.500
0.254 0.681 0.500
0.504 0.971 0.500
0.067 0.414 0.000
0.410 0.527 0.000
0.910 0.640 0.000
0.567 0.753 0.000
0.275 0.415 0.500
0.774 0.751 0.500

***

SrZn11 PBE relaxed; volume = 16.44 Å³/atom; total DFT energy (no corrections) = -17.74 eV per formula unit
1.0
-4.289 -0.288 -5.369
-2.538 -7.674 -1.967
-3.764 0.898 7.364
Sr Zn
2 22
direct
0.000 0.000 0.000
0.250 0.500 0.500
0.500 0.000 0.000
0.183 0.329 0.084
0.901 0.671 0.084
0.823 0.416 0.171
0.349 0.584 0.171
0.625 0.250 0.250
0.625 0.750 0.250
0.427 0.084 0.329
0.901 0.916 0.329
0.067 0.171 0.416
0.349 0.829 0.416
0.750 0.500 0.500
0.762 0.171 0.584
0.823 0.829 0.584
0.183 0.916 0.671
0.488 0.084 0.671
0.625 0.750 0.750
0.125 0.250 0.750
0.762 0.416 0.829
0.067 0.584 0.829
0.488 0.329 0.916
0.427 0.671 0.916